--- w ---
First-principles (PBE) data for a relaxed structure of Dy3Se2, as listed in Alexandria.

Geometry as POSCAR:
```
Dy3Se2
1.0
-2.0921 -1.1564 -3.1039
-3.0434 -2.4198 0.4804
-7.7628 6.6483 0.2829
Se Dy
2 3
Cartesian
-4.4859 -1.0077 -1.5458
-8.4124 4.0799 -0.7948
-9.0020 1.4337 -1.8840
-3.8963 1.6384 -0.4567
0.0000 0.0000 0.0000
```

Values from the calculation:
- Space-group type: R-3m (166)
- Magnetic moment: 0.51 μB/cell



--- x ---
First-principles (PBE) data for a relaxed structure of Dy3Se2, as listed in Alexandria.

Geometry as POSCAR:
```
Dy3Se2
1.0
-2.9344 -3.5106 -5.1985
3.6787 -4.6953 -3.5186
-1.6610 -7.3986 1.3212
Dy Se
6 4
Cartesian
1.2731 -9.3577 -2.0735
-1.9083 -10.1453 -4.3793
-2.1899 -6.2468 -5.3224
-2.1718 -7.4012 -1.4709
0.9915 -5.4592 -3.0166
1.2550 -8.2033 -5.9250
-0.1908 -10.4898 -6.6469
0.4766 -5.5183 -5.7681
-1.3934 -10.0862 -1.6278
-0.7260 -5.1147 -0.7490
```

Values from the calculation:
- Space-group type: R-3c (167)
- Magnetic moment: 0.00 μB/cell



How far above the most stable structure does each one sit? In meV/atom: w 0; x 100.



--- w ---
First-principles (PBE) data for a relaxed structure of Dy3Se, as listed in Alexandria.

Geometry as POSCAR:
```
Dy3Se
1.0
3.6794 0.0000 0.0000
0.0000 6.3840 0.0000
-1.8397 -3.1920 4.7906
Dy Se
3 1
Cartesian
1.8397 -1.0110 1.8658
0.0000 2.1809 2.9248
1.8397 2.6267 0.0000
0.0000 0.4594 0.0000
```

Values from the calculation:
- Space-group type: Imm2 (44)
- Magnetic moment: 0.29 μB/cell



--- x ---
First-principles (PBE) data for a relaxed structure of Dy3Se, as listed in Alexandria.

Geometry as POSCAR:
```
Dy3Se
1.0
-0.5548 1.5635 -3.2133
-0.9038 -3.2362 -1.4185
-8.8108 1.4785 2.2406
Dy Se
3 1
Cartesian
-6.7710 1.8714 0.0446
-1.9075 -0.6386 -2.0163
-4.6118 -0.9200 0.3486
-8.7268 1.4645 2.2193
```

Values from the calculation:
- Space-group type: Pmm2 (25)
- Magnetic moment: 1.03 μB/cell



How far above the most stable structure does each one sit? In meV/atom: w 0; x 98.



--- w ---
First-principles (PBE) data for a relaxed structure of DySiSe3, as listed in Alexandria.

Geometry as POSCAR:
```
DySiSe3
1.0
-4.1013 2.1070 4.6988
-6.0881 -1.2600 -4.7489
-0.7241 -8.5229 3.1897
Se Si Dy
12 4 4
Cartesian
-4.7861 -2.0152 4.4727
-3.7195 -4.2568 1.7616
-6.3720 -8.5392 -0.2559
-8.9491 -6.2026 0.6838
-3.9208 -2.4533 -1.2202
-6.8828 0.2443 0.0068
-4.0652 -7.5304 2.9633
-4.5444 1.2369 3.1899
-7.0928 -3.0240 1.2535
-6.9757 -5.0226 4.2848
-6.0578 -5.2494 -1.4214
-1.9474 -1.2733 2.3809
-3.4580 -8.9698 1.2154
-8.3645 -8.6430 0.9747
-2.9022 -3.1903 3.7207
-7.8087 -2.8636 3.4800
-6.1890 -5.9645 1.5954
-4.6881 -1.2822 1.3834
-9.5260 -0.9907 1.0642
-1.3511 -6.2560 1.9147
```

Values from the calculation:
- Space-group type: Pna2_1 (33)
- Magnetic moment: 0.00 μB/cell



--- x ---
First-principles (PBE) data for a relaxed structure of DySiSe3, as listed in Alexandria.

Geometry as POSCAR:
```
DySiSe3
1.0
6.7883 0.0000 -0.0315
0.0000 7.5129 0.0000
-0.4383 0.0000 9.6690
Se Si Dy
12 4 4
Cartesian
4.3979 6.2069 0.6643
0.9308 7.3082 2.2324
2.2442 3.5517 2.5864
0.7846 5.0624 5.5145
5.5654 2.4505 4.1230
4.1058 3.9612 7.0512
5.7240 2.3104 0.6364
5.4192 0.2047 7.4051
1.9521 1.3060 8.9732
0.6260 5.2024 9.0011
2.1107 1.4460 5.4867
4.2393 6.0669 4.1509
6.0041 6.7457 5.4287
0.3459 0.7672 4.2088
3.5209 2.9893 9.0276
2.8291 4.5236 0.6100
3.5928 0.9419 2.4027
-0.0205 2.8146 7.2529
6.3705 4.6983 2.3846
2.7572 6.5710 7.2348
```

Values from the calculation:
- Space-group type: P2_1/c (14)
- Magnetic moment: 0.00 μB/cell



How far above the most stable structure does each one sit? In meV/atom: w 163; x 0.